# 1
A relaxed structure of KAlIn4. Source: the Alexandria database, functional GGA-PBE.

Properties
- Formation enthalpy at 0 K: 0.137 eV per atom
- Magnetization: 0.00 μB per cell
- Electronic total energy: -14.972 eV per cell
- Space group: F-43m (216)

abc: 6.282 6.282 6.282
angles: 60.00 60.00 60.00
Fractional coordinates of all 6 atoms:
K 0.000 0.000 0.000
Al 0.750 0.750 0.750
In 0.375 0.375 0.375
In 0.375 0.375 0.874
In 0.375 0.874 0.375
In 0.874 0.375 0.375

=====

# 2
A relaxed structure of KAl2In2. Source: the Alexandria database, functional GGA-PBE.

Properties
- Formation enthalpy at 0 K: 0.114 eV per atom
- Magnetization: 0.00 μB per cell
- Energy above the lowest structure with this stoichiometry: 121 meV per atom
- Electronic total energy: -26.979 eV per cell
- Space group: P4/mbm (127)

abc: 8.944 8.944 3.186
angles: 90.00 90.00 90.00
Fractional coordinates of all 10 atoms:
K 0.000 0.000 0.000
K 0.500 0.500 0.000
Al 0.146 0.354 0.500
Al 0.354 0.854 0.500
Al 0.646 0.146 0.500
Al 0.854 0.646 0.500
In 0.143 0.643 0.000
In 0.357 0.143 0.000
In 0.643 0.857 0.000
In 0.857 0.357 0.000

=====

# 3
A relaxed structure of KAl2In. Source: the Alexandria database, functional GGA-PBE.

Properties
- Formation enthalpy at 0 K: 0.205 eV per atom
- Magnetization: 0.00 μB per cell
- Electronic total energy: -10.500 eV per cell
- Space group: C2/m (12)

abc: 5.119 5.119 7.420
angles: 95.84 95.84 34.81
Fractional coordinates of all 4 atoms:
K 0.000 0.000 0.000
Al 0.242 0.242 0.674
Al 0.758 0.758 0.326
In 0.500 0.500 0.500

=====

# 4
A relaxed structure of KAlIn. Source: the Alexandria database, functional GGA-PBE.

Properties
- Formation enthalpy at 0 K: 0.135 eV per atom
- Magnetization: 0.00 μB per cell
- Energy above the lowest structure with this stoichiometry: 32 meV per atom
- Electronic total energy: -7.174 eV per cell
- Space group: I4mm (107)

abc: 7.477 7.477 7.477
angles: 152.47 152.47 39.33
Fractional coordinates of all 3 atoms:
K 0.000 0.000 0.000
Al 0.685 0.685 0.000
In 0.304 0.304 0.000

=====

# 5
A relaxed structure of KAl2In. Source: the Alexandria database, functional GGA-PBE.

Properties
- Formation enthalpy at 0 K: 0.365 eV per atom
- Magnetization: 0.00 μB per cell
- Electronic total energy: -9.860 eV per cell
- Space group: Cmmm (65)

abc: 6.070 6.070 3.099
angles: 90.00 90.00 116.53
Fractional coordinates of all 4 atoms:
K 0.000 0.000 0.000
Al 0.000 0.500 0.500
Al 0.500 0.000 0.500
In 0.500 0.500 0.000

=====

# 6
A relaxed structure of KAl3In. Source: the Alexandria database, functional GGA-PBE.

Properties
- Formation enthalpy at 0 K: 1.408 eV per atom
- Magnetization: 0.00 μB per cell
- Energy above the lowest structure with this stoichiometry: 791 meV per atom
- Electronic total energy: -8.021 eV per cell
- Space group: Pm-3m (221)

abc: 5.766 5.766 5.766
angles: 90.00 90.00 90.00
Fractional coordinates of all 5 atoms:
K 0.000 0.000 0.000
Al 0.000 0.000 0.500
Al 0.000 0.500 0.000
Al 0.500 0.000 0.000
In 0.500 0.500 0.500